[1]
Density functional theory data (PBE-GGA) for a geometry-optimized BeOsW structure.

## Properties
* symmetry: F-43m, No. 216
* energy relative to the lowest polymorph listed for this composition: 0.2269 eV per atom
* total energy: -8.600 eV/atom

Geometry as extended XYZ:
```
3
Lattice="0.000 2.896 2.896 2.896 0.000 2.896 2.896 2.896 0.000" Properties=species:S:1:pos:R:3 pbc="T T T"
Be 0.000 0.000 0.000
Os 2.896 2.896 2.896
W 1.448 1.448 1.448
```

---

[2]
Density functional theory data (PBE-GGA) for a geometry-optimized BeOs2W structure.

## Properties
* symmetry: F-43m, No. 216
* total energy: -9.427 eV/atom

Geometry as extended XYZ:
```
4
Lattice="0.000 3.026 3.026 3.026 0.000 3.026 3.026 3.026 0.000" Properties=species:S:1:pos:R:3 pbc="T T T"
Be 0.000 0.000 0.000
Os 3.026 3.026 3.026
Os 4.540 4.540 4.540
W 1.513 1.513 1.513
```

---

[3]
Density functional theory data (PBE-GGA) for a geometry-optimized BeOsW structure.

## Properties
* symmetry: F-43m, No. 216
* energy relative to the lowest polymorph listed for this composition: 0.0000 eV per atom
* total energy: -8.827 eV/atom

Geometry as extended XYZ:
```
3
Lattice="0.000 2.889 2.889 2.889 0.000 2.889 2.889 2.889 0.000" Properties=species:S:1:pos:R:3 pbc="T T T"
Be 0.000 0.000 0.000
Os 1.444 1.444 1.444
W 2.889 2.889 2.889
```

---

[4]
Density functional theory data (PBE-GGA) for a geometry-optimized YBeOs structure.

## Properties
* symmetry: F-43m, No. 216
* energy relative to the lowest polymorph listed for this composition: 0.0000 eV per atom
* total energy: -6.608 eV/atom

Geometry as extended XYZ:
```
3
Lattice="0.000 3.094 3.094 3.094 0.000 3.094 3.094 3.094 0.000" Properties=species:S:1:pos:R:3 pbc="T T T"
Y 0.000 0.000 0.000
Be 3.094 3.094 3.094
Os 4.641 4.641 4.641
```

---

[5]
Density functional theory data (PBE-GGA) for a geometry-optimized YBeOs structure.

## Properties
* symmetry: F-43m, No. 216
* energy relative to the lowest polymorph listed for this composition: 0.7237 eV per atom
* total energy: -5.884 eV/atom

Geometry as extended XYZ:
```
3
Lattice="0.000 3.167 3.167 3.167 0.000 3.167 3.167 3.167 0.000" Properties=species:S:1:pos:R:3 pbc="T T T"
Y 0.000 0.000 0.000
Be 4.751 4.751 4.751
Os 1.584 1.584 1.584
```

---

[6]
Density functional theory data (PBE-GGA) for a geometry-optimized Y2BeOs structure.

## Properties
* symmetry: F-43m, No. 216
* total energy: -6.712 eV/atom

Geometry as extended XYZ:
```
4
Lattice="0.000 3.341 3.341 3.341 0.000 3.341 3.341 3.341 0.000" Properties=species:S:1:pos:R:3 pbc="T T T"
Y 0.000 0.000 0.000
Y 1.671 1.671 1.671
Be 3.341 3.341 3.341
Os 5.012 5.012 5.012
```

---

[7]
Density functional theory data (PBE-GGA) for a geometry-optimized BeZnOs structure.

## Properties
* symmetry: F-43m, No. 216
* total energy: -4.615 eV/atom

Geometry as extended XYZ:
```
3
Lattice="0.000 2.827 2.827 2.827 0.000 2.827 2.827 2.827 0.000" Properties=species:S:1:pos:R:3 pbc="T T T"
Be 0.000 0.000 0.000
Zn 2.827 2.827 2.827
Os 1.414 1.414 1.414
```

---

[8]
Density functional theory data (PBE-GGA) for a geometry-optimized BeZn2Os structure.

## Properties
* symmetry: F-43m, No. 216
* total energy: -4.199 eV/atom

Geometry as extended XYZ:
```
4
Lattice="0.000 2.930 2.930 2.930 0.000 2.930 2.930 2.930 0.000" Properties=species:S:1:pos:R:3 pbc="T T T"
Be 0.000 0.000 0.000
Zn 2.930 2.930 2.930
Zn 4.394 4.394 4.394
Os 1.465 1.465 1.465
```